# NaFe4As2

A relaxed NaFe4As2 crystal (PBE, Alexandria via LeMat-Bulk).

energy of formation: -0.078 eV/atom
VASP energy: -6.4307 eV per atom
magnetization: 7.92 μB/f.u.
calculated volume: 113 Å³/cell
N(E_F): 7.03 states/eV/cell

POSCAR file:
```
NaFe4As2
1.0
2.023 -6.980 0.000
2.023 6.980 0.000
0.000 0.000 4.005
Na Fe As
1 4 2
Direct
0.000 0.000 0.000
0.201 0.799 0.500
0.297 0.703 0.000
0.703 0.297 0.000
0.799 0.201 0.500
0.391 0.609 0.500
0.609 0.391 0.500
```